# 1
Entry from Alexandria: a relaxed structure of RbFeRhS3 (PBE-GGA).

Unit cell a=3.656 b=8.380 c=9.284 alpha=115.34 beta=90.00 gamma=90.00
Each line ends with the local moment (μB).
Element x y z (fractional)
1 S 0.250 0.512 0.865  0.03
2 S 0.750 0.868 0.139  0.04
3 S 0.750 0.194 0.547  0.01
4 S 0.250 0.132 0.861  0.04
5 S 0.750 0.488 0.135  0.03
6 S 0.250 0.806 0.453  0.01
7 Rh 0.250 0.681 0.148  0.07
8 Rh 0.750 0.319 0.852  0.07
9 Fe 0.250 0.089 0.610  1.71
10 Fe 0.750 0.911 0.390  1.71
11 Rb 0.250 0.237 0.253  0.01
12 Rb 0.750 0.763 0.747  0.01

calculated volume	257	Å³/cell
D(E_F)	4.50	states/eV/cell
E	-5.500	eV per atom
formation energy without anion corrections	-0.639	eV per atom

# 2
Entry from Alexandria: a relaxed structure of Rb3FeRh2Se6 (PBE-GGA).

Unit cell a=6.739 b=6.739 c=7.723 alpha=98.36 beta=98.36 gamma=120.00
Each line ends with the local moment (μB).
Element x y z (fractional)
1 Fe 0.000 0.000 0.000  1.14
2 Se 0.273 0.273 0.841  -0.02
3 Se 0.378 0.053 0.158  -0.02
4 Se 0.622 0.947 0.842  -0.02
5 Se 0.053 0.378 0.158  -0.02
6 Se 0.947 0.622 0.842  -0.02
7 Se 0.727 0.727 0.159  -0.02
8 Rh 0.333 0.667 0.000  -0.02
9 Rh 0.667 0.333 0.000  -0.02
10 Rb 0.500 0.500 0.500  0.00
11 Rb 0.830 0.170 0.500  0.00
12 Rb 0.170 0.830 0.500  0.00

calculated volume	291	Å³/cell
D(E_F)	6.53	states/eV/cell
E	-4.520	eV per atom
formation energy without anion corrections	-0.605	eV per atom

# 3
Entry from Alexandria: a relaxed structure of RbSrFe2Rh (PBE-GGA).

Unit cell a=5.163 b=5.163 c=5.017 alpha=90.00 beta=90.00 gamma=90.00
Each line ends with the local moment (μB).
Element x y z (fractional)
1 Rh 0.000 0.000 0.500  0.22
2 Sr 0.500 0.500 0.500  -0.04
3 Fe 0.000 0.500 0.000  2.96
4 Fe 0.500 0.000 0.000  2.96
5 Rb 0.000 0.000 0.000  0.00

calculated volume	134	Å³/cell
D(E_F)	7.00	states/eV/cell
E_form	1.88	eV per atom
E	-3.508	eV per atom

Question: Which of these has the lowest D(E_F)?
Answer: RbFeRhS3